First-principles (PBE) data for an optimized crystal structure of LaYTe2Se, as listed in Alexandria.

Magnetization: 0.00 μB per formula unit
Energy relative to the elements, uncorrected: -1507.6 meV per atom
Crystal system: tetragonal
Energy: -28.7 eV per formula unit

Unit cell a=4.429 b=4.429 c=15.705 alpha=90.00 beta=90.00 gamma=90.00
Space group P4/nmm (No. 129, origin choice 2)
Asymmetric unit:
La 0.250 0.250 0.132 x2
Y 0.250 0.250 0.593 x2
Te 0.250 0.250 0.395 x2
Te 0.250 0.250 0.788 x2
Se 0.250 0.750 0.000 x2